Here is an optimized crystal structure of ZnIn2Ge from OQMD. Energies are from PBE.

Summary:
Its uncorrected energy is -0.194 Ry/atom.

Unit cell a=5.0403 b=5.0403 c=5.0403 alpha=60.00 beta=60.00 gamma=60.00
With the nearest neighbours (Å) after each atom.
Sites, in units of the cell vectors:
Ge 0.7500 0.7500 0.7500  4 Zn 3.09, 4 In 3.09
In 0.0000 0.0000 0.0000  4 Ge 3.09, 4 In 3.09
In 0.2500 0.2500 0.2500  4 Zn 3.09, 4 In 3.09
Zn 0.5000 0.5000 0.5000  4 Ge 3.09, 4 In 3.09